The following is a PBE calculation of a geometry-optimized Be2OsW structure, from Alexandria.

Calculated values
Energy of formation from the pure elements: 0.601 eV/atom
Volume: 13.76 Å³ per atom
N(E_F): 0.473 states/eV/atom
DFT total energy: -7.31 eV/atom

Cell: 3.615 3.615 16.846 Å, 90.00 90.00 90.00°
Space group I-42d (No. 122)
Asymmetric unit:
Be (0.225, 0.250, 0.125) [8 per cell]
Os (0.000, 0.000, 0.000) [4 per cell]
W (0.000, 0.000, 0.500) [4 per cell]